VASP calculation (PBE) on a relaxed structure of PaSe2Br2.

For the energy, the calculation gives -5.15 eV/atom. For the magnetic moment, the calculation gives 4.00 μB/cell. The value obtained for the calculated volume is 35.0 Å³ per atom. The calculation puts the density of states at the Fermi level at 2.37 states/eV/f.u.

It has space group C2/m (No. 12), with a = 7.1707 Å, b = 13.1625 Å, c = 7.5371 Å, α = 90.00°, β = 100.60° and γ = 90.00°. The inequivalent atoms are Pa at (0.0000, 0.1419, 0.0000), Se at (0.0845, 0.0000, 0.3012), Se at (0.1888, 0.5000, 0.8964) and Br at (0.2314, 0.2902, 0.2308).



VASP calculation (PBE) on a relaxed structure of Pa3Se5Br.

For the energy, the calculation gives -6.46 eV/atom. For the magnetic moment, the calculation gives 16.04 μB/cell. The value obtained for the calculated volume is 32.4 Å³ per atom. The calculation puts the density of states at the Fermi level at 11.87 states/eV/f.u.

It has space group C2/m (No. 12), with a = 12.8663 Å, b = 9.5756 Å, c = 10.6035 Å, α = 90.00°, β = 116.60° and γ = 90.00°. The inequivalent atoms are Pa at (0.0000, 0.0000, 0.0000), Pa at (0.0000, 0.0000, 0.5000), Pa at (0.1469, 0.5000, 0.1712), Pa at (0.1682, 0.5000, 0.6643), Se at (0.0000, 0.2966, 0.5000), Se at (0.0871, 0.5000, 0.8772), Se at (0.1623, 0.2018, 0.1714), Se at (0.2303, 0.0000, 0.5274) and Br at (0.1117, 0.0000, 0.8104).



VASP calculation (PBE) on a relaxed structure of PaSeBr.

The value obtained for the energy above the most stable polymorph in this dataset is 0.0 kJ/mol of atoms. For the energy, the calculation gives -6.21 eV/atom. For the magnetic moment, the calculation gives 2.77 μB/cell. The value obtained for the calculated volume is 34.8 Å³ per atom. The calculation puts the density of states at the Fermi level at 3.52 states/eV/f.u.

It has space group P2_1/m (No. 11), with a = 3.9289 Å, b = 5.6525 Å, c = 9.5419 Å, α = 90.00°, β = 100.14° and γ = 90.00°. The inequivalent atoms are Pa at (0.2038, 0.2500, 0.3915), Se at (0.1982, 0.7500, 0.3794) and Br at (0.3935, 0.7500, 0.8360).



VASP calculation (PBE) on a relaxed structure of PaSeBr2.

The value obtained for the energy above the most stable polymorph in this dataset is 5.8 kJ/mol of atoms. For the energy, the calculation gives -5.41 eV/atom. For the magnetic moment, the calculation gives 0.70 μB/cell. The value obtained for the calculated volume is 33.9 Å³ per atom. The calculation puts the density of states at the Fermi level at 2.12 states/eV/f.u.

It has space group Pm (No. 6), with a = 4.3498 Å, b = 3.7433 Å, c = 8.5978 Å, α = 90.00°, β = 104.49° and γ = 90.00°. The inequivalent atoms are Pa at (0.0000, 0.0000, 0.0000), Se at (0.5266, 0.5000, 0.0535), Br at (0.1598, 0.0000, 0.3225) and Br at (0.8639, 0.5000, 0.7242).



VASP calculation (PBE) on a relaxed structure of PaSe3Br.

For the energy, the calculation gives -5.37 eV/atom. For the magnetic moment, the calculation gives 0.00 μB/cell. The value obtained for the calculated volume is 34.9 Å³ per atom.

It has space group P2_1/c (No. 14), with a = 8.7362 Å, b = 7.4285 Å, c = 11.4793 Å, α = 90.00°, β = 110.29° and γ = 90.00°. The inequivalent atoms are Pa at (0.0645, 0.2486, 0.0821), Se at (0.0196, 0.6189, 0.6853), Se at (0.2052, 0.5327, 0.0093), Se at (0.2173, 0.5051, 0.4649) and Br at (0.3597, 0.2078, 0.2648).



VASP calculation (PBE) on a relaxed structure of SmPaBr2.

For the energy, the calculation gives -5.12 eV/atom. For the magnetic moment, the calculation gives 2.38 μB/cell. The value obtained for the calculated volume is 27.4 Å³ per atom. The calculation puts the density of states at the Fermi level at 4.46 states/eV/f.u.

It has space group R-3m (No. 166, hexagonal axes), with a = 3.4970 Å, b = 3.4970 Å, c = 31.0592 Å, α = 90.00°, β = 90.00° and γ = 120.00°. The inequivalent atoms are Sm at (0.0000, 0.0000, 0.0000), Pa at (0.0000, 0.0000, 0.5000) and Br at (0.0000, 0.0000, 0.4041).



VASP calculation (PBE) on a relaxed structure of PaSnBr2.

For the energy, the calculation gives -4.92 eV/atom. For the magnetic moment, the calculation gives 0.00 μB/cell. The value obtained for the calculated volume is 32.5 Å³ per atom. The calculation puts the density of states at the Fermi level at 3.17 states/eV/f.u.

It has space group R-3m (No. 166, hexagonal axes), with a = 3.4550 Å, b = 3.4550 Å, c = 37.6759 Å, α = 90.00°, β = 90.00° and γ = 120.00°. The inequivalent atoms are Pa at (0.0000, 0.0000, 0.0000), Sn at (0.0000, 0.0000, 0.5000) and Br at (0.0000, 0.0000, 0.3904).



VASP calculation (PBE) on a relaxed structure of PaSnBr.

For the energy, the calculation gives -5.52 eV/atom. For the magnetic moment, the calculation gives 1.58 μB/cell. The value obtained for the calculated volume is 27.8 Å³ per atom. The calculation puts the density of states at the Fermi level at 3.70 states/eV/f.u.

It has space group Amm2 (No. 38), with a = 16.8050 Å, b = 3.3843 Å, c = 5.8618 Å, α = 90.00°, β = 90.00° and γ = 90.00°. The inequivalent atoms are Pa at (0.1598, 0.0000, 0.0000), Sn at (0.0000, 0.0000, 0.3338), Sn at (0.5000, 0.0000, 0.3254) and Br at (0.2929, 0.0000, 0.3331).



VASP calculation (PBE) on a relaxed structure of SrPaBr6.

The value obtained for the energy above the most stable polymorph in this dataset is 0.4 kJ/mol of atoms. For the energy, the calculation gives -4.34 eV/atom. For the magnetic moment, the calculation gives 1.01 μB/cell. The value obtained for the calculated volume is 39.5 Å³ per atom. The calculation puts the density of states at the Fermi level at 0.73 states/eV/f.u.

It has space group P-1 (No. 2), with a = 7.3529 Å, b = 7.3547 Å, c = 7.9696 Å, α = 62.56°, β = 62.53° and γ = 60.04°. The inequivalent atoms are Sr at (0.0000, 0.0000, 0.0000), Pa at (0.5000, 0.5000, 0.5000), Br at (0.1045, 0.4239, 0.7400), Br at (0.2686, 0.8950, 0.2600) and Br at (0.4238, 0.7319, 0.7399).



VASP calculation (PBE) on a relaxed structure of SrPaBr6.

The value obtained for the energy above the most stable polymorph in this dataset is 0.0 kJ/mol of atoms. For the energy, the calculation gives -4.35 eV/atom. For the magnetic moment, the calculation gives 2.02 μB/cell. The value obtained for the calculated volume is 42.6 Å³ per atom. The calculation puts the density of states at the Fermi level at 0.20 states/eV/f.u.

It has space group C2/m (No. 12), with a = 7.3972 Å, b = 13.0830 Å, c = 7.3324 Å, α = 90.00°, β = 106.15° and γ = 90.00°. The inequivalent atoms are Sr at (0.0000, 0.0000, 0.0000), Pa at (0.0000, 0.5000, 0.5000), Br at (0.2239, 0.3509, 0.7376) and Br at (0.2482, 0.5000, 0.2728).



VASP calculation (PBE) on a relaxed structure of Sr2PaBr8.

For the energy, the calculation gives -4.13 eV/atom. For the magnetic moment, the calculation gives 2.01 μB/cell. The value obtained for the calculated volume is 39.8 Å³ per atom. The calculation puts the density of states at the Fermi level at 0.98 states/eV/f.u.

It has space group C2/m (No. 12), with a = 15.7827 Å, b = 6.9734 Å, c = 7.9547 Å, α = 90.00°, β = 91.60° and γ = 90.00°. The inequivalent atoms are Sr at (0.1379, 0.0000, 0.0432), Pa at (0.0000, 0.0000, 0.5000), Br at (0.0253, 0.2532, 0.7729), Br at (0.1730, 0.0000, 0.4295) and Br at (0.1903, 0.5000, 0.0820).



VASP calculation (PBE) on a relaxed structure of SrPa2Br11.

For the energy, the calculation gives -4.30 eV/atom. For the magnetic moment, the calculation gives 4.01 μB/cell. The value obtained for the calculated volume is 41.2 Å³ per atom. The calculation puts the density of states at the Fermi level at 6.76 states/eV/f.u.

It has space group Ibam (No. 72), with a = 12.6441 Å, b = 12.6580 Å, c = 14.4007 Å, α = 90.00°, β = 90.00° and γ = 90.00°. The inequivalent atoms are Sr at (0.0000, 0.0000, 0.2500), Pa at (0.1652, 0.3351, 0.0000), Br at (0.0000, 0.5000, 0.0000), Br at (0.0604, 0.2200, 0.1352), Br at (0.1884, 0.3112, 0.5000) and Br at (0.2192, 0.0598, 0.3651).